Computed, not measured: a geometry-optimized FeHg3I6 structure at the PBE-GGA level of DFT.

Lattice parameters (Å, degrees): 8.809 11.234 11.234 116.90 90.00 90.00
Last column: magnetic moment on the atom in μB.
Fractional coordinates of all 20 atoms:
Fe: 0.082 0.222 0.778  3.42
Fe: 0.582 0.778 0.222  3.42
Hg: 0.371 0.956 0.807  -0.02
Hg: 0.871 0.807 0.956  -0.02
Hg: 0.087 0.449 0.551  -0.01
Hg: 0.587 0.551 0.449  -0.01
Hg: 0.871 0.044 0.193  -0.02
Hg: 0.371 0.193 0.044  -0.02
I: 0.136 0.712 0.738  -0.01
I: 0.636 0.738 0.712  -0.01
I: 0.251 0.402 0.954  0.14
I: 0.751 0.954 0.402  0.14
I: 0.410 0.884 0.116  0.18
I: 0.890 0.328 0.672  0.09
I: 0.390 0.672 0.328  0.09
I: 0.910 0.116 0.884  0.18
I: 0.251 0.046 0.598  0.14
I: 0.751 0.598 0.046  0.14
I: 0.136 0.262 0.288  -0.01
I: 0.636 0.288 0.262  -0.01

Computed properties:
As for the symmetry: Cmc2_1. Its spin magnetization is 4.4 μB per formula unit. For the energy relative to the elements, uncorrected, the calculation gives -14.3 kJ per mole of atoms.